Record 1
## Sb3W (PBEsol)

Data for Sb3W after structural relaxation.

The space group is Cmmm (No. 65) and the conventional cell measures 6.291, 7.943 and 3.441 Å, with angles of 90.00, 90.00 and 90.00 degrees. The asymmetric unit holds Sb at (0.000, 0.000, 0.000), Sb at (0.250, 0.250, 0.500) and W at (0.000, 0.500, 0.000).

For the distance to the lowest polymorph of the same formula, the calculation gives 0.351 eV per atom. Its energy relative to the elements, uncorrected is 0.80 eV per atom. The total DFT energy (no corrections) is -6.065 eV per atom. Its crystal system is orthorhombic.

Record 2
## Sb3W (PBEsol)

Data for Sb3W after structural relaxation.

The space group is P-6m2 (No. 187) and the conventional cell measures 3.2355, 3.2355 and 10.2223 Å, with angles of 90.00, 90.00 and 120.00 degrees. The asymmetric unit holds Sb at (0.0000, 0.0000, 0.0000), Sb at (0.6667, 0.3333, 0.2974) and W at (0.0000, 0.0000, 0.5000).

For the distance to the lowest polymorph of the same formula, the calculation gives 0.000 eV per atom. Its energy relative to the elements, uncorrected is 0.45 eV per atom. The total DFT energy (no corrections) is -6.416 eV per atom. Its crystal system is hexagonal.

Record 3
## SbW2 (PBEsol)

Data for SbW2 after structural relaxation.

The space group is C2/m (No. 12) and the conventional cell measures 10.286, 3.098 and 6.966 Å, with angles of 90.00, 108.79 and 90.00 degrees. The asymmetric unit holds Sb at (0.175, 0.000, 0.147), W at (0.044, 0.500, 0.787) and W at (0.130, 0.000, 0.532).

For the distance to the lowest polymorph of the same formula, the calculation gives 0.000 eV per atom. Its energy relative to the elements, uncorrected is 0.47 eV per atom. The total DFT energy (no corrections) is -10.255 eV per atom. Its crystal system is monoclinic.

Record 4
## SbW2 (PBEsol)

Data for SbW2 after structural relaxation.

The space group is Fd-3m (No. 227, origin choice 2) and the conventional cell measures 7.599, 7.599 and 7.599 Å, with angles of 90.00, 90.00 and 90.00 degrees. The asymmetric unit holds Sb at (0.125, 0.125, 0.125) and W at (0.000, 0.000, 0.500).

For the distance to the lowest polymorph of the same formula, the calculation gives 0.258 eV per atom. Its energy relative to the elements, uncorrected is 0.73 eV per atom. The total DFT energy (no corrections) is -9.997 eV per atom. Its crystal system is cubic.

Record 5
## Sb4W (PBEsol)

Data for Sb4W after structural relaxation.

The space group is Im-3m (No. 229) and the conventional cell measures 6.440, 6.440 and 6.440 Å, with angles of 90.00, 90.00 and 90.00 degrees. The asymmetric unit holds Sb at (0.250, 0.250, 0.250) and W at (0.000, 0.000, 0.000).

Its energy relative to the elements, uncorrected is 0.61 eV per atom. The total DFT energy (no corrections) is -5.795 eV per atom. Its crystal system is cubic.

Record 6
## Sb3W (PBEsol)

Data for Sb3W after structural relaxation.

The space group is Pm-3m (No. 221) and the conventional cell measures 4.471, 4.471 and 4.471 Å, with angles of 90.00, 90.00 and 90.00 degrees. The asymmetric unit holds Sb at (0.000, 0.000, 0.500) and W at (0.500, 0.500, 0.500).

For the distance to the lowest polymorph of the same formula, the calculation gives 0.532 eV per atom. Its energy relative to the elements, uncorrected is 0.99 eV per atom. The total DFT energy (no corrections) is -5.885 eV per atom. Its crystal system is cubic.